This record from Alexandria describes a relaxed CuC crystal. The functional is GGA-PBE.

Computed properties:
Total moment ... 0.00 μB/f.u.
SG ... Amm2 (38)
Final energy ... -5.731 eV per atom
Energy of formation ... 0.93 eV/atom

abc: 3.7562 6.0083 6.0083
angles: 130.08 90.00 90.00
Last column: nearest neighbours and their distance in Å.
Positions (direct):
Cu1 0.0000 0.0000 0.0000  2 C 1.93
Cu2 0.5000 0.0700 0.5753  2 C 1.88-1.89
Cu3 0.5000 0.5753 0.0700  2 C 1.88-1.89
C1 0.5000 0.0879 0.0879  2 C 1.33
C2 0.5000 0.1998 0.9550  1 C 1.33
C3 0.5000 0.9550 0.1998  1 C 1.33


This record from Alexandria describes a relaxed CaCo2Au crystal. The functional is GGA-PBE.

Computed properties:
Total moment ... 2.73 μB/f.u.
SG ... C2/m (12)
Final energy ... -4.513 eV per atom
Energy of formation ... 0.36 eV/atom

abc: 5.3585 5.3585 2.8630
angles: 102.47 102.47 118.03
Last column: nearest neighbours and their distance in Å.
Positions (direct):
Ca1 0.0000 0.0000 0.0000  4 Co 2.75, 4 Au 2.76-3.03, 2 Ca 2.86
Co1 0.0000 0.5000 0.5000  2 Ca 2.75, 2 Au 2.75, 6 Co 2.76-3.03
Co2 0.5000 0.0000 0.5000  2 Ca 2.75, 2 Au 2.75, 6 Co 2.76-3.03
Au1 0.5000 0.5000 0.0000  4 Co 2.75, 4 Ca 2.76-3.03, 2 Au 2.86


This record from Alexandria describes a relaxed LuPaGaGe crystal. The functional is GGA-PBE.

Computed properties:
Total moment ... 1.35 μB/f.u.
SG ... F-43m (216)
Final energy ... -5.767 eV per atom
Energy of formation ... -0.35 eV/atom

abc: 4.9931 4.9931 4.9931
angles: 60.00 60.00 60.00
Last column: nearest neighbours and their distance in Å.
Positions (direct):
Lu1 0.0000 0.0000 0.0000  4 Ge 3.06, 4 Ga 3.06
Pa1 0.5000 0.5000 0.5000  4 Ge 3.06, 4 Ga 3.06
Ga1 0.2500 0.2500 0.2500  4 Pa 3.06, 4 Lu 3.06
Ge1 0.7500 0.7500 0.7500  4 Pa 3.06, 4 Lu 3.06


This record from Alexandria describes a relaxed LaAgP crystal. The functional is GGA-PBE.

Computed properties:
Total moment ... 0.00 μB/f.u.
SG ... I4mm (107)
Final energy ... -4.883 eV per atom
Energy of formation ... -0.49 eV/atom

abc: 5.3396 5.3396 5.3396
angles: 135.63 135.63 64.55
Last column: nearest neighbours and their distance in Å.
Positions (direct):
La1 0.0000 0.0000 0.0000  5 Ag 2.94-3.25, 4 P 3.05
Ag1 0.6738 0.6738 0.0000  1 P 2.64, 1 La 2.94
P1 0.3811 0.3811 0.0000  1 Ag 2.64


This record from Alexandria describes a relaxed AcCuSb crystal. The functional is GGA-PBE.

Computed properties:
Total moment ... 0.00 μB/f.u.
Raw formation energy ... -0.560 eV per atom
SG ... F-43m (216)
Final energy ... -4.669 eV per atom

abc: 4.9087 4.9087 4.9087
angles: 60.00 60.00 60.00
Last column: nearest neighbours and their distance in Å.
Positions (direct):
Ac1 0.0000 0.0000 0.0000  4 Cu 3.01
Cu1 0.2500 0.2500 0.2500  4 Sb 3.01, 4 Ac 3.01
Sb1 0.5000 0.5000 0.5000  4 Cu 3.01


This record from Alexandria describes a relaxed CeH6Rh crystal. The functional is GGA-PBE.

Computed properties:
Total moment ... 1.01 μB/f.u.
SG ... R-3m (166)
Final energy ... -4.562 eV per atom

abc: 4.6780 4.6780 4.6780
angles: 58.36 58.36 58.36
Last column: nearest neighbours and their distance in Å.
Positions (direct):
Ce1 0.0000 0.0000 0.0000  12 H 2.50
H1 0.0695 0.5987 0.5987  1 Rh 1.66
H2 0.4013 0.4013 0.9305  1 Rh 1.66
H3 0.4013 0.9305 0.4013  1 Rh 1.66
H4 0.5987 0.0695 0.5987  1 Rh 1.66
H5 0.5987 0.5987 0.0695  1 Rh 1.66
H6 0.9305 0.4013 0.4013  1 Rh 1.66
Rh1 0.5000 0.5000 0.5000  6 H 1.66


This record from Alexandria describes a relaxed K2ScAu crystal. The functional is GGA-PBE.

Computed properties:
Total moment ... 0.00 μB/f.u.
SG ... Cm (8)
Final energy ... -2.989 eV per atom
Energy of formation ... -0.04 eV/atom

abc: 4.9778 4.9778 9.8060
angles: 103.31 103.31 46.23
Last column: nearest neighbours and their distance in Å.
Positions (direct):
K1 0.0000 0.0000 0.0000  2 Au 3.49, 1 Sc 3.80
K2 0.1584 0.1584 0.5898  2 Au 3.49, 1 Sc 3.79
Sc1 0.3591 0.3591 0.2951  3 Au 2.69-2.73
Au1 0.6572 0.6572 0.2950  3 Sc 2.69-2.73


This record from Alexandria describes a relaxed NaAl3Ga3 crystal. The functional is GGA-PBE.

Computed properties:
Total moment ... 0.00 μB/f.u.
SG ... Pm-3n (223)
Final energy ... -2.813 eV per atom
Energy of formation ... 0.28 eV/atom

abc: 7.2101 7.2101 7.2101
angles: 90.00 90.00 90.00
Last column: nearest neighbours and their distance in Å.
Positions (direct):
Na1 0.0000 0.0000 0.0000  12 Al 4.03, 12 Ga 4.03
Na2 0.5000 0.5000 0.5000  12 Al 4.03, 12 Ga 4.03
Al1 0.0000 0.2500 0.5000  4 Ga 2.55
Al2 0.0000 0.7500 0.5000  4 Ga 2.55
Al3 0.2500 0.5000 0.0000  4 Ga 2.55
Al4 0.5000 0.0000 0.2500  4 Ga 2.55
Al5 0.5000 0.0000 0.7500  4 Ga 2.55
Al6 0.7500 0.5000 0.0000  4 Ga 2.55
Ga1 0.0000 0.5000 0.2500  4 Al 2.55
Ga2 0.0000 0.5000 0.7500  4 Al 2.55
Ga3 0.2500 0.0000 0.5000  4 Al 2.55
Ga4 0.5000 0.2500 0.0000  4 Al 2.55
Ga5 0.5000 0.7500 0.0000  4 Al 2.55
Ga6 0.7500 0.0000 0.5000  4 Al 2.55